[1]
MgZn2Se: relaxed, PBE-GGA.

abc: 3.7136 5.1471 8.1768
angles: 90.00 90.00 90.00
Closest atoms and distances in Å follow each position.
Space group Imm2 (No. 44)
Asymmetric unit:
Mg  0.0000  0.0000  0.0000 (multiplicity 2)  2 Se 2.76, 2 Zn 2.87
Zn  0.0000  0.0000  0.4918 (multiplicity 2)  2 Zn 2.71, 2 Se 2.71
Zn  0.0000  0.5000  0.2325 (multiplicity 2)  2 Zn 2.71, 2 Mg 2.87
Se  0.0000  0.5000  0.7503 (multiplicity 2)  2 Zn 2.71, 2 Mg 2.76



[2]
MgZnSe: relaxed, PBE-GGA.

## Properties
The calculation puts the polymorph energy (0 for the lowest one) at 0.293 eV/atom.

abc: 6.5061 6.5061 6.5061
angles: 90.00 90.00 90.00
Closest atoms and distances in Å follow each position.
Space group F-43m (No. 216)
Asymmetric unit:
Mg  0.0000  0.0000  0.0000 (multiplicity 4)  4 Se 2.82, 4 Zn 2.82
Zn  0.2500  0.2500  0.2500 (multiplicity 4)  4 Mg 2.82
Se  0.2500  0.2500  0.7500 (multiplicity 4)  4 Mg 2.82



[3]
Mg3Zn2Se4: relaxed, PBE-GGA.

## Properties
The calculation puts the polymorph energy (0 for the lowest one) at 0.094 eV/atom.

abc: 13.4760 3.8881 9.3851
angles: 90.00 122.97 90.00
Closest atoms and distances in Å follow each position.
Space group C2/m (No. 12)
Asymmetric unit:
Mg  0.0000  0.0000  0.0000 (multiplicity 2)  6 Se 2.74-2.92
Mg  0.0982  0.0000  0.6777 (multiplicity 4)  4 Se 2.80-2.91, 1 Mg 2.92
Zn  0.1376  0.5000  0.3712 (multiplicity 4)  4 Se 2.45-2.60
Se  0.0694  0.5000  0.8667 (multiplicity 4)  1 Zn 2.45, 2 Mg 2.74
Se  0.2364  0.0000  0.3090 (multiplicity 4)  3 Zn 2.52-2.60



[4]
MgZn2Se: relaxed, PBE-GGA.

abc: 3.7357 3.7357 20.5623
angles: 90.00 90.00 120.00
Closest atoms and distances in Å follow each position.
Space group R3m (No. 160, hexagonal axes)
Asymmetric unit:
Mg  0.0000  0.0000  0.0000 (multiplicity 3)  3 Se 2.68, 3 Zn 2.95
Zn  0.0000  0.0000  0.2354 (multiplicity 3)  3 Zn 2.71, 3 Mg 2.95
Zn  0.0000  0.0000  0.4888 (multiplicity 3)  3 Se 2.69, 3 Zn 2.71
Se  0.0000  0.0000  0.7439 (multiplicity 3)  3 Mg 2.68, 3 Zn 2.69



[5]
Mg2ZnSe: relaxed, PBE-GGA.

## Properties
The calculation puts the polymorph energy (0 for the lowest one) at 0.352 eV/atom.

abc: 6.4796 9.8590 5.6150
angles: 90.00 90.00 90.00
Closest atoms and distances in Å follow each position.
Space group Cmcm (No. 63)
Asymmetric unit:
Mg  0.2329  0.1598  0.2500 (multiplicity 8)  2 Se 2.73, 2 Zn 2.91-3.00, 1 Mg 3.02
Zn  0.0000  0.1026  0.7500 (multiplicity 4)  8 Mg 2.91-3.24
Se  0.0000  0.5000  0.0000 (multiplicity 4)  4 Mg 2.73, 2 Se 2.81



[6]
Mg3ZnSe2: relaxed, PBE-GGA.

## Properties
The calculation puts the polymorph energy (0 for the lowest one) at 0.000 eV/atom.

abc: 3.8231 3.8231 20.7482
angles: 90.00 90.00 120.00
Closest atoms and distances in Å follow each position.
Space group P6_3/mmc (No. 194)
Asymmetric unit:
Mg  0.0000  0.0000  0.0000 (multiplicity 2)  6 Se 2.73
Mg  0.3333  0.6667  0.1553 (multiplicity 4)  3 Se 2.73, 3 Zn 2.96
Zn  0.0000  0.0000  0.2500 (multiplicity 2)  6 Mg 2.96
Se  0.3333  0.6667  0.5777 (multiplicity 4)  6 Mg 2.73



[7]
Mg4ZnSe: relaxed, PBE-GGA.

## Properties
The calculation puts the polymorph energy (0 for the lowest one) at 0.000 eV/atom.

abc: 8.5021 3.4447 8.9752
angles: 90.00 90.00 90.00
Closest atoms and distances in Å follow each position.
Space group Pmma (No. 51)
Asymmetric unit:
Mg  0.0000  0.0000  0.0000 (multiplicity 2)  2 Se 2.88, 4 Mg 3.09
Mg  0.0475  0.5000  0.3415 (multiplicity 4)  2 Se 2.68, 1 Mg 2.96
Mg  0.2500  0.5000  0.8407 (multiplicity 2)  2 Zn 2.88, 6 Mg 3.01-3.09
Zn  0.2500  0.0000  0.5836 (multiplicity 2)  6 Mg 2.88-3.13
Se  0.2500  0.0000  0.2167 (multiplicity 2)  6 Mg 2.68-2.88



[8]
MgZn2Se: relaxed, PBE-GGA.

abc: 3.7008 3.7008 21.3243
angles: 90.00 90.00 120.00
Closest atoms and distances in Å follow each position.
Space group R-3m (No. 166, hexagonal axes)
Asymmetric unit:
Mg  0.0000  0.0000  0.0000 (multiplicity 3)  6 Zn 2.93
Zn  0.0000  0.0000  0.2391 (multiplicity 6)  3 Se 2.64, 3 Mg 2.93
Se  0.0000  0.0000  0.5000 (multiplicity 3)  6 Zn 2.64



[9]
MgZn3Se3: relaxed, PBE-GGA.

## Properties
The calculation puts the polymorph energy (0 for the lowest one) at 0.092 eV/atom.

abc: 9.3962 9.3962 4.5802
angles: 90.00 90.00 120.00
Closest atoms and distances in Å follow each position.
Space group P6_3/m (No. 176)
Asymmetric unit:
Mg  0.3333  0.6667  0.2500 (multiplicity 2)  3 Se 2.61, 6 Zn 2.81
Zn  0.1377  0.5286  0.7500 (multiplicity 6)  3 Se 2.52-2.61, 2 Mg 2.81
Se  0.0702  0.3762  0.2500 (multiplicity 6)  3 Zn 2.52-2.61, 1 Mg 2.61



[10]
MgZnSe: relaxed, PBE-GGA.

## Properties
The calculation puts the polymorph energy (0 for the lowest one) at 0.337 eV/atom.

abc: 7.7385 7.7385 3.5768
angles: 90.00 90.00 120.00
Closest atoms and distances in Å follow each position.
Space group P-62m (No. 189)
Asymmetric unit:
Mg  0.0000  0.0000  0.0000 (multiplicity 1)  6 Zn 2.78
Mg  0.3333  0.6667  0.5000 (multiplicity 2)  3 Zn 2.84, 6 Se 2.90
Zn  0.0000  0.2743  0.5000 (multiplicity 3)  4 Mg 2.78-2.84, 2 Se 2.83
Se  0.0000  0.5571  0.0000 (multiplicity 3)  2 Zn 2.83, 4 Mg 2.90



[11]
Mg2Zn2Se: relaxed, PBE-GGA.

## Properties
The calculation puts the polymorph energy (0 for the lowest one) at 0.231 eV/atom.

abc: 3.3556 7.6408 8.2931
angles: 90.00 90.00 90.00
Closest atoms and distances in Å follow each position.
Space group Immm (No. 71)
Asymmetric unit:
Mg  0.0000  0.2188  0.0000 (multiplicity 4)  2 Se 2.73, 4 Zn 2.95
Zn  0.0000  0.5000  0.2882 (multiplicity 4)  2 Se 2.92, 6 Mg 2.95-3.21
Se  0.0000  0.0000  0.5000 (multiplicity 2)  4 Mg 2.73, 4 Zn 2.92



[12]
MgZnSe: relaxed, PBE-GGA.

## Properties
The calculation puts the polymorph energy (0 for the lowest one) at 0.145 eV/atom.

abc: 6.0703 6.6940 8.1445
angles: 90.00 110.13 90.00
Closest atoms and distances in Å follow each position.
Space group P2_1/c (No. 14)
Asymmetric unit:
Mg  0.2480  0.0505  0.3027 (multiplicity 4)  1 Zn 2.61, 3 Se 2.64-2.67
Zn  0.2093  0.5192  0.3142 (multiplicity 4)  1 Se 2.61, 1 Mg 2.61
Se  0.4329  0.2381  0.6084 (multiplicity 4)  1 Zn 2.61, 3 Mg 2.64-2.67



One value per record, in order, for density: 4.974; 4.068; 4.182; 4.692; 3.573; 3.746; 3.052; 4.610; 4.338; 4.530; 4.036; 3.605 Mg/m³.
One value per record, in order, for total DFT energy (no corrections): -2.01; -2.43; -3.06; -2.13; -2.12; -2.83; -2.07; -2.04; -2.75; -2.39; -1.96; -2.58 eV/atom.